(1)
Entry from Alexandria via LeMat-Bulk: an optimized crystal structure of LiCu2PO4 (PBE-GGA).

a = 5.4289 Å, b = 5.4166 Å, c = 6.1973 Å
α = 90.00°, β = 94.94°, γ = 90.00°
Fractional positions:
Li: 0.1725 0.0000 0.0321
Li: 0.8275 0.5000 0.9679
Cu: 0.1219 0.1574 0.5330
Cu: 0.2615 0.5927 0.7151
Cu: 0.7385 0.0927 0.2849
Cu: 0.8781 0.6574 0.4670
P: 0.3454 0.5108 0.2225
P: 0.6546 0.0108 0.7775
O: 0.1870 0.6027 0.0134
O: 0.2441 0.6647 0.4101
O: 0.3058 0.2303 0.2596
O: 0.3785 0.0704 0.7926
O: 0.6215 0.5704 0.2074
O: 0.6942 0.7303 0.7404
O: 0.7559 0.1647 0.5899
O: 0.8130 0.1027 0.9866

ΔE_f (raw): -146.4 kJ per mole of atoms
polymorph energy (0 for the lowest one): 0.05 kcal/mol of atoms
spin magnetization: 0.0 μB per cell
crystal system: monoclinic
raw total energy: -95.0 eV per cell
calculated density: 4.19 g/cm3

(2)
Entry from Alexandria via LeMat-Bulk: an optimized crystal structure of Sr2Sn3GeRh4 (PBE-GGA).

a = 4.5369 Å, b = 4.5369 Å, c = 10.6496 Å
α = 90.00°, β = 90.00°, γ = 90.00°
Fractional positions:
Sr: 0.0000 0.5000 0.2489
Sr: 0.5000 0.0000 0.7511
Sn: 0.0000 0.0000 0.0000
Sn: 0.0000 0.5000 0.6292
Sn: 0.5000 0.0000 0.3708
Ge: 0.5000 0.5000 0.0000
Rh: 0.0000 0.0000 0.5000
Rh: 0.0000 0.5000 0.8794
Rh: 0.5000 0.0000 0.1206
Rh: 0.5000 0.5000 0.5000

spin magnetization: 0.0 μB per cell
crystal system: tetragonal
ΔH_f (0 K): -0.633 eV/atom
raw total energy: -55.7 eV per cell
calculated density: 7.69 g/cm3

(3)
Entry from Alexandria via LeMat-Bulk: an optimized crystal structure of Y2HoTc9 (PBE-GGA).

a = 9.2671 Å, b = 9.2671 Å, c = 9.2671 Å
α = 33.57°, β = 33.57°, γ = 33.57°
Fractional positions:
Y: 0.1435 0.1435 0.1435
Y: 0.8565 0.8565 0.8565
Ho: 0.0000 0.0000 0.0000
Tc: 0.0731 0.5882 0.5882
Tc: 0.3380 0.3380 0.3380
Tc: 0.4118 0.4118 0.9269
Tc: 0.4118 0.9269 0.4118
Tc: 0.5000 0.5000 0.5000
Tc: 0.5882 0.0731 0.5882
Tc: 0.5882 0.5882 0.0731
Tc: 0.6620 0.6620 0.6620
Tc: 0.9269 0.4118 0.4118

spin magnetization: 0.0 μB per cell
crystal system: trigonal
ΔH_f (0 K): -0.050 eV/atom
raw total energy: -111.4 eV per cell
calculated density: 9.38 g/cm3